First-principles (GGA-PBE) data for a geometry-optimized ScZn2N structure, as listed in Alexandria.

Computed properties:
Density of states at the Fermi level ... 1.020 states/eV/cell
Energy relative to the elements, uncorrected ... -254 meV per atom

Cell and atoms, written as CIF:
```
data_ScZn2N
_cell_length_a 7.2550
_cell_length_b 7.2550
_cell_length_c 4.4069
_cell_angle_alpha 90.00
_cell_angle_beta 90.00
_cell_angle_gamma 90.00
_space_group_name_H-M_alt 'I -4 2 d'
_space_group_IT_number 122
_space_group_name_Hall 'I -4 2bw'
loop_
_atom_site_label
_atom_site_fract_x
_atom_site_fract_y
_atom_site_fract_z
Sc1 0.0000 0.0000 0.0000
Zn1 0.1713 0.2500 0.6250
N1 0.0000 0.0000 0.5000
```


First-principles (GGA-PBE) data for a geometry-optimized CaFe2Ni structure, as listed in Alexandria.

Computed properties:
Density of states at the Fermi level ... 8.683 states/eV/cell
Energy relative to the elements ... 2.03 eV/f.u.

Cell and atoms, written as CIF:
```
data_CaFe2Ni
_cell_length_a 5.1704
_cell_length_b 9.1332
_cell_length_c 2.6808
_cell_angle_alpha 90.00
_cell_angle_beta 111.57
_cell_angle_gamma 90.00
_space_group_name_H-M_alt 'C 1 2/m 1'
_space_group_IT_number 12
_space_group_name_Hall '-C 2y'
loop_
_atom_site_label
_atom_site_fract_x
_atom_site_fract_y
_atom_site_fract_z
Ca1 0.0000 0.0000 0.0000
Fe1 0.2500 0.2500 0.5000
Ni1 0.0000 0.5000 0.0000
```


| no. | M_tot (Bohr magnetons per cell) | density (g cm⁻³) |
| --- | --- | --- |
| 1 | 0.0 | 5.43 |
| 2 | 10.4 | 5.94 |